(1)
Entry from Alexandria: a geometry-optimized Sr2ZnHgPd structure (PBE).

Results
The final energy is -2.3864 eV/atom. As for the calculated formation energy: -360 meV per atom. For the magnetization, the calculation gives 0.0 Bohr magnetons per cell.

Unit cell a=5.8105 b=5.8105 c=4.8992 alpha=90.00 beta=90.00 gamma=90.00
Sites, in units of the cell vectors:
Hg: 0.5000 0.5000 0.5000
Sr: 0.5000 0.0000 0.0000
Sr: 0.0000 0.5000 0.0000
Zn: 0.0000 0.0000 0.5000
Pd: 0.0000 0.0000 0.0000

***

(2)
Entry from Alexandria: a geometry-optimized TbEr3Co structure (PBE).

Results
The final energy is -5.1443 eV/atom. As for the calculated formation energy: -59 meV per atom. For the magnetization, the calculation gives 0.0 Bohr magnetons per cell. Its offset from the most stable computed form is 0.00 eV per formula unit.

Unit cell a=6.2161 b=8.5563 c=7.5767 alpha=90.00 beta=90.00 gamma=135.75
Sites, in units of the cell vectors:
Er: 0.9220 0.7510 0.4999
Er: 0.9220 0.7510 0.0001
Er: 0.0780 0.2490 0.5001
Er: 0.4141 0.7533 0.2500
Er: 0.0780 0.2490 0.9999
Er: 0.5859 0.2467 0.7500
Tb: 0.4135 0.7566 0.7500
Tb: 0.5865 0.2434 0.2500
Co: 0.0018 0.0007 0.7500
Co: 0.9982 0.9993 0.2500